A plane-wave DFT calculation with PBE was carried out for PmHo3 after structural relaxation. Values from VASP.

```
&SYSTEM
  ibrav = 0, nat = 8, ntyp = 2
/
ATOMIC_SPECIES
Pm 145.00 Pm.upf
Ho 164.93 Ho.upf
CELL_PARAMETERS angstrom
7.230 0.000 0.000
-3.615 6.261 0.000
0.000 0.000 5.683
ATOMIC_POSITIONS angstrom
Pm 0.000 4.174 1.421
Pm 3.615 2.087 4.263
Ho 0.000 2.077 4.263
Ho -1.816 5.223 4.263
Ho 1.799 1.039 1.421
Ho 1.816 5.223 4.263
Ho 5.431 1.039 1.421
Ho 3.615 4.184 1.421
```

E_form	0.011	eV per atom
size of the total moment	0.000	μB per atom
crystal system	hexagonal
energy above the lowest structure with this stoichiometry	0	meV/atom

***

A plane-wave DFT calculation with PBE was carried out for Tb3YPt after structural relaxation. Values from VASP.

```
&SYSTEM
  ibrav = 0, nat = 10, ntyp = 3
/
ATOMIC_SPECIES
Tb 158.93 Tb.upf
Y 88.91 Y.upf
Pt 195.08 Pt.upf
CELL_PARAMETERS angstrom
6.439 0.000 0.000
0.000 5.161 0.000
-1.022 0.000 8.654
ATOMIC_POSITIONS angstrom
Tb 0.426 1.290 2.481
Tb 1.777 3.871 0.501
Tb 1.598 3.871 4.146
Tb 3.819 1.290 4.508
Tb 3.640 1.290 8.153
Tb 4.991 3.871 6.173
Y 0.689 1.290 6.425
Y 4.728 3.871 2.229
Pt 2.214 3.871 6.834
Pt 3.203 1.290 1.820
```

E_form	-0.466	eV per atom
size of the total moment	0.000	μB per atom
crystal system	monoclinic

***

A plane-wave DFT calculation with PBE was carried out for NdAl2Cu3 after structural relaxation. Values from VASP.

```
&SYSTEM
  ibrav = 0, nat = 12, ntyp = 3
/
ATOMIC_SPECIES
Nd 144.24 Nd.upf
Al 26.98 Al.upf
Cu 63.55 Cu.upf
CELL_PARAMETERS angstrom
4.889 -4.015 0.000
4.889 4.015 0.000
0.000 0.000 5.270
ATOMIC_POSITIONS angstrom
Nd 4.889 2.525 3.953
Nd 4.889 -2.525 1.318
Al 2.828 0.000 0.000
Al 2.828 0.000 2.635
Al 6.950 0.000 0.000
Al 6.950 0.000 2.635
Cu 3.144 2.250 1.318
Cu 6.635 2.250 1.318
Cu 4.889 0.520 1.318
Cu 4.889 -0.520 3.953
Cu 3.144 -2.250 3.953
Cu 6.635 -2.250 3.953
```

E_form	-0.338	eV per atom
size of the total moment	0.000	μB per atom
crystal system	orthorhombic

***

A plane-wave DFT calculation with PBE was carried out for RbMg2CdRh after structural relaxation. Values from VASP.

```
&SYSTEM
  ibrav = 0, nat = 5, ntyp = 4
/
ATOMIC_SPECIES
Rb 85.47 Rb.upf
Mg 24.30 Mg.upf
Cd 112.41 Cd.upf
Rh 102.91 Rh.upf
CELL_PARAMETERS angstrom
5.123 0.000 0.000
0.000 5.123 0.000
0.000 0.000 5.388
ATOMIC_POSITIONS angstrom
Rb 0.000 0.000 0.000
Mg 0.000 2.561 2.694
Mg 2.561 0.000 2.694
Cd 2.561 2.561 0.000
Rh 2.561 2.561 2.694
```

E_form	-0.118	eV per atom
size of the total moment	0.000	μB per atom
crystal system	tetragonal

***

A plane-wave DFT calculation with PBE was carried out for GaMoOs3 after structural relaxation. Values from VASP.

```
&SYSTEM
  ibrav = 0, nat = 5, ntyp = 3
/
ATOMIC_SPECIES
Ga 69.72 Ga.upf
Mo 95.94 Mo.upf
Os 190.23 Os.upf
CELL_PARAMETERS angstrom
4.707 0.000 0.000
0.000 4.707 0.000
0.000 0.000 4.707
ATOMIC_POSITIONS angstrom
Ga 0.000 0.000 0.000
Mo 2.353 2.353 2.353
Os 0.000 2.353 2.353
Os 2.353 0.000 2.353
Os 2.353 2.353 0.000
```

E_form	2.187	eV per atom
size of the total moment	0.059	μB per atom
crystal system	cubic
energy above the lowest structure with this stoichiometry	355	meV/atom

***

A plane-wave DFT calculation with PBE was carried out for YTlZn after structural relaxation. Values from VASP.

```
&SYSTEM
  ibrav = 0, nat = 6, ntyp = 3
/
ATOMIC_SPECIES
Y 88.91 Y.upf
Tl 204.38 Tl.upf
Zn 65.41 Zn.upf
CELL_PARAMETERS angstrom
4.259 0.000 0.000
-0.008 6.165 0.000
-2.129 -3.055 5.558
ATOMIC_POSITIONS angstrom
Y 0.000 0.000 0.000
Y -0.004 0.365 4.111
Tl -0.005 2.964 0.807
Tl 2.131 -1.181 2.184
Zn -0.009 3.405 3.601
Zn 2.123 1.906 2.560
```

E_form	-0.239	eV per atom
size of the total moment	0.000	μB per atom
crystal system	triclinic

***

Number 1: E_tot -4.610 eV/atom. Number 2: E_tot -5.745 eV/atom. Number 3: E_tot -4.428 eV/atom. Number 4: E_tot -2.603 eV/atom. Number 5: E_tot -7.323 eV/atom. Number 6: E_tot -3.607 eV/atom.